A relaxed structure of NaSe2NCl. Source: Alexandria, functional PBE.

Properties
As for the relative energy among the computed polymorphs: 1.93 eV/f.u. Its uncorrected formation energy is 1.363 eV per atom. The value obtained for the total magnetic moment is 7.04 μB per cell. Its calculated total energy is -11.65 eV/f.u. For the volume, the calculation gives 30.3 Å³ per atom.

Cell lengths 5.6666, 5.6666, 4.7214 Å; angles 90.00, 90.00, 90.00 degrees
Closest atoms and distances in Å follow each position.
Space group P4/mmm (No. 123)
One atom of each set of equivalent atoms:
Na 0.0000 0.0000 0.0000 x1  2 N 2.36
Se 0.0000 0.5000 0.0000 x2  2 Na 2.83
N 0.0000 0.0000 0.5000 x1  2 Na 2.36
Cl 0.5000 0.5000 0.5000 x1  8 Se 3.69, 4 N 4.01



A relaxed structure of PrHgPd. Source: Alexandria, functional PBE.

Properties
As for the relative energy among the computed polymorphs: 0.27 eV/f.u. The value obtained for the total magnetic moment is 0.00 μB per cell. Its calculated total energy is -12.05 eV/f.u. For the formation enthalpy at 0 K, the calculation gives -0.59 eV per atom. For the volume, the calculation gives 24.1 Å³ per atom.

Cell lengths 4.7965, 4.7965, 3.6354 Å; angles 90.00, 90.00, 120.00 degrees
Closest atoms and distances in Å follow each position.
Space group P-6m2 (No. 187)
One atom of each set of equivalent atoms:
Pr 0.0000 0.0000 0.0000 x1  6 Hg 3.31, 6 Pd 3.31, 2 Pr 3.64
Hg 0.3333 0.6667 0.5000 x1  3 Pd 2.77
Pd 0.6667 0.3333 0.5000 x1  3 Hg 2.77



A relaxed structure of La2ScTc. Source: Alexandria, functional PBE.

Properties
As for the relative energy among the computed polymorphs: 0.76 eV/f.u. The value obtained for the total magnetic moment is 0.00 μB per cell. Its calculated total energy is -25.67 eV/f.u. For the formation enthalpy at 0 K, the calculation gives 0.22 eV per atom. For the volume, the calculation gives 26.3 Å³ per atom.

Cell lengths 3.6902, 4.2747, 6.7885 Å; angles 90.00, 100.39, 90.00 degrees
Closest atoms and distances in Å follow each position.
Space group P2/m (No. 10)
One atom of each set of equivalent atoms:
La 0.1110 0.0000 0.2800 x2  2 Tc 2.84
Sc 0.5000 0.5000 0.0000 x1  8 La 3.35-3.42, 2 Tc 3.39, 2 Sc 3.69
Tc 0.5000 0.5000 0.5000 x1  4 La 2.84



A relaxed structure of MgHgP2S. Source: Alexandria, functional PBE.

Properties
As for the relative energy among the computed polymorphs: 0.00 eV/f.u. Its uncorrected formation energy is 0.743 eV per atom. The value obtained for the total magnetic moment is 0.59 μB per cell. Its calculated total energy is -13.13 eV/f.u. For the volume, the calculation gives 22.9 Å³ per atom.

Cell lengths 4.9246, 4.9246, 4.7215 Å; angles 90.00, 90.00, 90.00 degrees
Closest atoms and distances in Å follow each position.
Space group P4/mmm (No. 123)
One atom of each set of equivalent atoms:
Mg 0.0000 0.0000 0.0000 x1  2 S 2.36, 4 P 2.46
Hg 0.5000 0.5000 0.5000 x1  8 P 3.41, 4 S 3.48
P 0.0000 0.5000 0.0000 x2  2 Mg 2.46
S 0.0000 0.0000 0.5000 x1  2 Mg 2.36



A relaxed structure of BeAgSbTe2. Source: Alexandria, functional PBE.

Properties
As for the relative energy among the computed polymorphs: 0.00 eV/f.u. Its uncorrected formation energy is 0.493 eV per atom. The value obtained for the total magnetic moment is 0.00 μB per cell. Its calculated total energy is -14.52 eV/f.u. For the volume, the calculation gives 25.4 Å³ per atom.

Cell lengths 5.2038, 5.2038, 4.6814 Å; angles 90.00, 90.00, 90.00 degrees
Closest atoms and distances in Å follow each position.
Space group P4/mmm (No. 123)
One atom of each set of equivalent atoms:
Be 0.0000 0.0000 0.0000 x1  2 Sb 2.34, 4 Te 2.60
Ag 0.5000 0.5000 0.5000 x1  8 Te 3.50, 4 Sb 3.68
Sb 0.0000 0.0000 0.5000 x1  2 Be 2.34
Te 0.0000 0.5000 0.0000 x2  2 Be 2.60



A relaxed structure of La3Tl2Pd2Au4. Source: Alexandria, functional PBE.

Properties
The value obtained for the total magnetic moment is 0.00 μB per cell. Its calculated total energy is -49.78 eV/f.u. For the formation enthalpy at 0 K, the calculation gives -0.62 eV per atom. For the volume, the calculation gives 25.6 Å³ per atom.

Cell lengths 4.7262, 4.7262, 14.5722 Å; angles 90.00, 90.00, 120.00 degrees
Closest atoms and distances in Å follow each position.
Space group P-3m1 (No. 164)
One atom of each set of equivalent atoms:
La 0.0000 0.0000 0.0000 x1  6 Au 3.25, 6 Pd 3.43
La 0.0000 0.0000 0.2527 x2  6 Au 3.13-3.33, 3 Pd 3.16
Tl 0.3333 0.6667 0.5675 x2  4 Au 2.93-3.05
Pd 0.3333 0.6667 0.1429 x2  3 Au 2.75
Au 0.3333 0.6667 0.3584 x2  4 Tl 2.93-3.05, 3 La 3.13, 1 Pd 3.14
Au 0.3333 0.6667 0.8786 x2  3 Pd 2.75



A relaxed structure of MnGaS2N. Source: Alexandria, functional PBE.

Properties
As for the relative energy among the computed polymorphs: 2.56 eV/f.u. Its uncorrected formation energy is 0.652 eV per atom. The value obtained for the total magnetic moment is 6.60 μB per cell. Its calculated total energy is -25.51 eV/f.u. For the volume, the calculation gives 17.7 Å³ per atom.

Cell lengths 4.8729, 4.8729, 3.7205 Å; angles 90.00, 90.00, 90.00 degrees
Closest atoms and distances in Å follow each position.
Space group P4/mmm (No. 123)
One atom of each set of equivalent atoms:
Mn 0.0000 0.0000 0.0000 x1  8 S 3.07
Ga 0.5000 0.5000 0.5000 x1  2 N 1.86
S 0.0000 0.5000 0.5000 x2  2 Ga 2.44
N 0.5000 0.5000 0.0000 x1  2 Ga 1.86



A relaxed structure of NaPmYAl. Source: Alexandria, functional PBE.

Properties
The value obtained for the total magnetic moment is 0.00 μB per cell. Its calculated total energy is -16.53 eV/f.u. For the formation enthalpy at 0 K, the calculation gives -0.06 eV per atom. For the volume, the calculation gives 27.1 Å³ per atom.

Cell lengths 7.5723, 7.5723, 7.5723 Å; angles 90.00, 90.00, 90.00 degrees
Closest atoms and distances in Å follow each position.
Space group F-43m (No. 216)
One atom of each set of equivalent atoms:
Na 0.0000 0.0000 0.0000 x4  4 Pm 3.28, 4 Y 3.28
Pm 0.2500 0.2500 0.2500 x4  4 Al 3.28, 4 Na 3.28
Y 0.2500 0.2500 0.7500 x4  4 Na 3.28, 4 Al 3.28
Al 0.0000 0.0000 0.5000 x4  4 Y 3.28, 4 Pm 3.28



calculated total energy of number 5 (BeAgSbTe2)? -14.52 eV/f.u.



Among the records above, which one has the lowest volume? MnGaS2N



Which of these has the highest total magnetic moment? NaSe2NCl